Below is TbSm3Dy6Er2 after structural relaxation, with properties calculated at the PBE level.

Properties
calculated formation energy: 17 meV per atom

Lattice parameters (Å, degrees): 6.1619 6.1619 11.7853 94.98 94.98 119.97
Closest atoms and distances in Å follow each position.
Element x y z (fractional)
Tb 0.0000 0.0000 0.0000  6 Dy 3.53, 6 Er 3.56
Sm 0.1668 0.8332 0.5000  6 Sm 3.56, 6 Dy 3.58
Sm 0.5000 0.5000 0.5000  6 Sm 3.56, 6 Dy 3.58
Sm 0.8332 0.1668 0.5000  6 Sm 3.56, 6 Dy 3.58
Dy 0.0829 0.4165 0.2473  2 Er 3.53, 1 Tb 3.53, 6 Dy 3.56, 3 Sm 3.58
Dy 0.2508 0.2508 0.7528  1 Tb 3.53, 2 Er 3.53, 6 Dy 3.56, 3 Sm 3.58
Dy 0.4165 0.0829 0.2473  2 Er 3.53, 1 Tb 3.53, 6 Dy 3.56, 3 Sm 3.58
Dy 0.5835 0.9171 0.7527  2 Er 3.53, 1 Tb 3.53, 6 Dy 3.56, 3 Sm 3.58
Dy 0.7492 0.7492 0.2472  1 Tb 3.53, 2 Er 3.53, 6 Dy 3.56, 3 Sm 3.58
Dy 0.9171 0.5835 0.7527  2 Er 3.53, 1 Tb 3.53, 6 Dy 3.56, 3 Sm 3.58
Er 0.3333 0.6667 0.0000  6 Dy 3.53, 3 Tb 3.56, 3 Er 3.56
Er 0.6667 0.3333 0.0000  6 Dy 3.53, 3 Tb 3.56, 3 Er 3.56